# 1
CdC2Se: optimized geometry, PBE.

```
data_CdC2Se
_chemical_formula_sum 'Cd4 C8 Se4'
_symmetry_space_group_name_H-M 'F m -3 m'
_symmetry_Int_Tables_number 225
_symmetry_space_group_name_Hall '-F 4 2 3'
_cell_length_a 6.0104
_cell_length_b 6.0104
_cell_length_c 6.0104
_cell_angle_alpha 90.00
_cell_angle_beta 90.00
_cell_angle_gamma 90.00
loop_
_atom_site_label
_atom_site_type_symbol
_atom_site_fract_x
_atom_site_fract_y
_atom_site_fract_z
Cd1 Cd 0.0000 0.0000 0.0000
C1 C 0.2500 0.2500 0.2500
Se1 Se 0.0000 0.0000 0.5000
```

Calculated values
- energy relative to the lowest polymorph listed for this composition (meV per atom) = 989
- DOS at the Fermi energy (states/eV/f.u.) = 2.60
- M_tot (μB/f.u.) = 0.000
- raw formation energy (eV per formula unit) = 9.89



# 2
Cd2C2Se: optimized geometry, PBE.

```
data_Cd2C2Se
_chemical_formula_sum 'Cd4 C4 Se2'
_symmetry_space_group_name_H-M 'P 4/m b m'
_symmetry_Int_Tables_number 127
_symmetry_space_group_name_Hall '-P 4 2ab'
_cell_length_a 6.7161
_cell_length_b 6.7161
_cell_length_c 3.4275
_cell_angle_alpha 90.00
_cell_angle_beta 90.00
_cell_angle_gamma 90.00
loop_
_atom_site_label
_atom_site_type_symbol
_atom_site_fract_x
_atom_site_fract_y
_atom_site_fract_z
Cd1 Cd 0.1453 0.3547 0.0000
C1 C 0.1760 0.6760 0.5000
Se1 Se 0.0000 0.0000 0.5000
```

Calculated values
- energy relative to the lowest polymorph listed for this composition (meV per atom) = 766
- DOS at the Fermi energy (states/eV/f.u.) = 2.29
- M_tot (μB/f.u.) = 0.000
- raw formation energy (eV per formula unit) = 8.66



# 3
Cd2C2Se: optimized geometry, PBE.

```
data_Cd2C2Se
_chemical_formula_sum 'Cd4 C4 Se2'
_symmetry_space_group_name_H-M 'I 4/m m m'
_symmetry_Int_Tables_number 139
_symmetry_space_group_name_Hall '-I 4 2'
_cell_length_a 5.9567
_cell_length_b 5.9567
_cell_length_c 5.6108
_cell_angle_alpha 90.00
_cell_angle_beta 90.00
_cell_angle_gamma 90.00
loop_
_atom_site_label
_atom_site_type_symbol
_atom_site_fract_x
_atom_site_fract_y
_atom_site_fract_z
Cd1 Cd 0.0000 0.5000 0.2500
C1 C 0.0000 0.0000 0.1125
Se1 Se 0.0000 0.0000 0.5000
```

Calculated values
- energy relative to the lowest polymorph listed for this composition (meV per atom) = 0
- DOS at the Fermi energy (states/eV/f.u.) = 1.07
- M_tot (μB/f.u.) = 0.000
- raw formation energy (eV per formula unit) = 4.83



# 4
Cd2CSe2: optimized geometry, PBE.

```
data_Cd2CSe2
_chemical_formula_sum 'Cd4 C2 Se4'
_symmetry_space_group_name_H-M 'I 4/m m m'
_symmetry_Int_Tables_number 139
_symmetry_space_group_name_Hall '-I 4 2'
_cell_length_a 4.5667
_cell_length_b 4.5667
_cell_length_c 12.7763
_cell_angle_alpha 90.00
_cell_angle_beta 90.00
_cell_angle_gamma 90.00
loop_
_atom_site_label
_atom_site_type_symbol
_atom_site_fract_x
_atom_site_fract_y
_atom_site_fract_z
Cd1 Cd 0.0000 0.5000 0.2500
C1 C 0.0000 0.0000 0.0000
Se1 Se 0.0000 0.0000 0.3701
```

Calculated values
- energy relative to the lowest polymorph listed for this composition (meV per atom) = 177
- DOS at the Fermi energy (states/eV/f.u.) = 6.31
- M_tot (μB/f.u.) = 2.003
- raw formation energy (eV per formula unit) = 5.68



# 5
CdSnC2Se: optimized geometry, PBE.

```
data_CdSnC2Se
_chemical_formula_sum 'Cd1 Sn1 C2 Se1'
_symmetry_space_group_name_H-M 'P 4/m m m'
_symmetry_Int_Tables_number 123
_symmetry_space_group_name_Hall '-P 4 2'
_cell_length_a 4.2616
_cell_length_b 4.2616
_cell_length_c 6.2647
_cell_angle_alpha 90.00
_cell_angle_beta 90.00
_cell_angle_gamma 90.00
loop_
_atom_site_label
_atom_site_type_symbol
_atom_site_fract_x
_atom_site_fract_y
_atom_site_fract_z
Cd1 Cd 0.0000 0.0000 0.0000
Sn1 Sn 0.0000 0.0000 0.5000
C1 C 0.0000 0.5000 0.0000
Se1 Se 0.5000 0.5000 0.5000
```

Calculated values
- DOS at the Fermi energy (states/eV/f.u.) = 3.27
- M_tot (μB/f.u.) = 2.382
- raw formation energy (eV per formula unit) = 11.07



# 6
CdTeC2Se: optimized geometry, PBE.

```
data_CdTeC2Se
_chemical_formula_sum 'Cd1 Te1 C2 Se1'
_symmetry_space_group_name_H-M 'P 4/m m m'
_symmetry_Int_Tables_number 123
_symmetry_space_group_name_Hall '-P 4 2'
_cell_length_a 4.3145
_cell_length_b 4.3145
_cell_length_c 5.6731
_cell_angle_alpha 90.00
_cell_angle_beta 90.00
_cell_angle_gamma 90.00
loop_
_atom_site_label
_atom_site_type_symbol
_atom_site_fract_x
_atom_site_fract_y
_atom_site_fract_z
Cd1 Cd 0.0000 0.0000 0.0000
Te1 Te 0.5000 0.5000 0.5000
C1 C 0.0000 0.5000 0.0000
Se1 Se 0.0000 0.0000 0.5000
```

Calculated values
- DOS at the Fermi energy (states/eV/f.u.) = 4.05
- M_tot (μB/f.u.) = 1.838
- raw formation energy (eV per formula unit) = 11.53



# 7
CdTe2CSe: optimized geometry, PBE.

```
data_CdTe2CSe
_chemical_formula_sum 'Cd1 Te2 C1 Se1'
_symmetry_space_group_name_H-M 'P 4/m m m'
_symmetry_Int_Tables_number 123
_symmetry_space_group_name_Hall '-P 4 2'
_cell_length_a 4.8565
_cell_length_b 4.8565
_cell_length_c 4.5762
_cell_angle_alpha 90.00
_cell_angle_beta 90.00
_cell_angle_gamma 90.00
loop_
_atom_site_label
_atom_site_type_symbol
_atom_site_fract_x
_atom_site_fract_y
_atom_site_fract_z
Cd1 Cd 0.0000 0.0000 0.0000
Te1 Te 0.0000 0.5000 0.5000
C1 C 0.5000 0.5000 0.5000
Se1 Se 0.5000 0.5000 0.0000
```

Calculated values
- DOS at the Fermi energy (states/eV/f.u.) = 3.03
- M_tot (μB/f.u.) = 0.000
- raw formation energy (eV per formula unit) = 4.49



# 8
TiCdC2Se: optimized geometry, PBE.

```
data_TiCdC2Se
_chemical_formula_sum 'Ti1 Cd1 C2 Se1'
_symmetry_space_group_name_H-M 'P 4/m m m'
_symmetry_Int_Tables_number 123
_symmetry_space_group_name_Hall '-P 4 2'
_cell_length_a 4.0434
_cell_length_b 4.0434
_cell_length_c 5.9579
_cell_angle_alpha 90.00
_cell_angle_beta 90.00
_cell_angle_gamma 90.00
loop_
_atom_site_label
_atom_site_type_symbol
_atom_site_fract_x
_atom_site_fract_y
_atom_site_fract_z
Ti1 Ti 0.0000 0.0000 0.0000
Cd1 Cd 0.0000 0.0000 0.5000
C1 C 0.0000 0.5000 0.5000
Se1 Se 0.5000 0.5000 0.0000
```

Calculated values
- DOS at the Fermi energy (states/eV/f.u.) = 4.55
- M_tot (μB/f.u.) = 0.150
- raw formation energy (eV per formula unit) = 11.10